No. 1
Computed, not measured: LaCuSe2N after structural relaxation at the GGA-PBE level of DFT.

Relative energy among the computed polymorphs in eV/atom: 0.884
Total moment in μB per atom: 0.43
Calculated volume in Å³/atom: 29.7
VASP energy in eV/atom: -4.3099

Cell: 5.9096 5.9096 4.2493 Å, 90.00 90.00 90.00°
Element x y z (fractional)
N: 0.0000 0.0000 0.5000
Cu: 0.5000 0.5000 0.5000
Se: 0.0000 0.5000 0.0000
Se: 0.5000 0.0000 0.0000
La: 0.0000 0.0000 0.0000

No. 2
Computed, not measured: SrP3Os after structural relaxation at the GGA-PBE level of DFT.

Energy of formation in eV per atom: 0.0698
Relative energy among the computed polymorphs in eV/atom: 0.000
Total moment in μB per atom: 0.00
Calculated volume in Å³/atom: 21.2
VASP energy in eV/atom: -5.7584

Cell: 4.7326 4.7326 4.7326 Å, 90.00 90.00 90.00°
Element x y z (fractional)
Sr: 0.5000 0.5000 0.5000
Os: 0.0000 0.0000 0.0000
P: 0.0000 0.5000 0.0000
P: 0.0000 0.0000 0.5000
P: 0.5000 0.0000 0.0000

No. 3
Computed, not measured: BaCu2Mo after structural relaxation at the GGA-PBE level of DFT.

Energy of formation in eV per atom: 0.6747
Relative energy among the computed polymorphs in eV/atom: 0.221
Total moment in μB per atom: 0.00
Calculated volume in Å³/atom: 19.5
VASP energy in eV/atom: -4.5618

Cell: 3.1246 3.1246 7.9934 Å, 90.00 90.00 90.00°
Element x y z (fractional)
Ba: 0.5000 0.5000 0.7636
Cu: 0.0000 0.0000 0.0830
Cu: 0.5000 0.5000 0.2337
Mo: 0.0000 0.0000 0.4198

No. 4
Computed, not measured: PrDy7Tm4 after structural relaxation at the GGA-PBE level of DFT.

Energy of formation in eV per atom: -0.0018
Relative energy among the computed polymorphs in eV/atom: 0.000
Total moment in μB per atom: 0.00
Calculated volume in Å³/atom: 31.3
VASP energy in eV/atom: -4.5752

Cell: 7.1341 6.1697 11.3181 Å, 79.51 50.90 90.01°
Element x y z (fractional)
Pr: 0.0000 0.0000 0.0000
Dy: 0.7473 0.5004 0.0004
Dy: 0.2527 0.4996 0.9996
Dy: 0.0842 0.2793 0.6635
Dy: 0.9158 0.7207 0.3365
Dy: 0.3349 0.7767 0.6646
Dy: 0.5000 0.0000 0.0000
Dy: 0.6651 0.2233 0.3354
Tm: 0.4119 0.7215 0.3359
Tm: 0.5881 0.2785 0.6641
Tm: 0.8349 0.7795 0.6648
Tm: 0.1651 0.2205 0.3352

No. 5
Computed, not measured: LiRhSe2 after structural relaxation at the GGA-PBE level of DFT.

Total moment in μB per atom: 0.00
Calculated volume in Å³/atom: 16.8
VASP energy in eV/atom: -3.9462

Cell: 4.5657 4.5657 4.5657 Å, 60.00 60.00 60.00°
Element x y z (fractional)
Li: 0.5000 0.5000 0.5000
Rh: 0.7500 0.7500 0.7500
Se: 0.0000 0.0000 0.0000
Se: 0.2500 0.2500 0.2500

No. 6
Computed, not measured: CePmY2 after structural relaxation at the GGA-PBE level of DFT.

Energy of formation in eV per atom: 0.1636
Relative energy among the computed polymorphs in eV/atom: 0.108
Total moment in μB per atom: 0.22
Calculated volume in Å³/atom: 33.0
VASP energy in eV/atom: -5.7396

Cell: 5.7176 5.7176 5.7176 Å, 60.00 60.00 60.00°
Element x y z (fractional)
Y: 0.2500 0.2500 0.2500
Y: 0.7500 0.7500 0.7500
Ce: 0.5000 0.5000 0.5000
Pm: 0.0000 0.0000 0.0000

| no. | D(E_F) (states/eV/f.u.) |
| --- | --- |
| 1 | 4.66 |
| 2 | 4.72 |
| 3 | 3.84 |
| 4 | 15.69 |
| 5 | 1.79 |
| 6 | 10.33 |